(1)
First-principles (PBE) data for a geometry-optimized Ce3Tl2In3Ir structure, as listed in the Alexandria database.

The space group is P-62m (No. 189) and the conventional cell measures 8.6529, 8.6529 and 3.7441 Å, with angles of 90.00, 90.00 and 120.00 degrees. The distinct sites, in fractional coordinates, are Ce at (0.0000, 0.2550, 0.0000), Tl at (0.3333, 0.6667, 0.0000), In at (0.0000, 0.6154, 0.5000) and Ir at (0.0000, 0.0000, 0.5000).

As for the energy relative to the elements: -0.339 eV per atom. The volume comes out at 26.975 A^3/atom. As for the total energy: -4.740 eV/atom.

---

(2)
First-principles (PBE) data for a geometry-optimized CeTmInIr structure, as listed in the Alexandria database.

The space group is F-43m (No. 216) and the conventional cell measures 7.216, 7.216 and 7.216 Å, with angles of 90.00, 90.00 and 90.00 degrees. The distinct sites, in fractional coordinates, are Ce at (0.000, 0.000, 0.000), Tm at (0.000, 0.000, 0.500), In at (0.250, 0.250, 0.750) and Ir at (0.250, 0.250, 0.250).

As for the energy relative to the elements: -0.453 eV per atom. The volume comes out at 23.481 A^3/atom. As for the total energy: -5.954 eV/atom.

---

(3)
First-principles (PBE) data for a geometry-optimized CeYInIr structure, as listed in the Alexandria database.

The space group is F-43m (No. 216) and the conventional cell measures 7.271, 7.271 and 7.271 Å, with angles of 90.00, 90.00 and 90.00 degrees. The distinct sites, in fractional coordinates, are Ce at (0.000, 0.000, 0.000), Y at (0.000, 0.000, 0.500), In at (0.250, 0.250, 0.250) and Ir at (0.250, 0.250, 0.750).

As for the energy relative to the elements: -0.434 eV per atom. The volume comes out at 24.025 A^3/atom. As for the total energy: -6.433 eV/atom.

---

(4)
First-principles (PBE) data for a geometry-optimized CeZnInIr structure, as listed in the Alexandria database.

The space group is F-43m (No. 216) and the conventional cell measures 6.848, 6.848 and 6.848 Å, with angles of 90.00, 90.00 and 90.00 degrees. The distinct sites, in fractional coordinates, are Ce at (0.000, 0.000, 0.000), Zn at (0.250, 0.250, 0.750), In at (0.000, 0.000, 0.500) and Ir at (0.250, 0.250, 0.250).

As for the energy relative to the elements: -0.364 eV per atom. The volume comes out at 20.068 A^3/atom. As for the total energy: -5.066 eV/atom.

---

(5)
First-principles (PBE) data for a geometry-optimized Ce2ZnInIr structure, as listed in the Alexandria database.

The space group is P2_1/m (No. 11) and the conventional cell measures 7.326, 4.407 and 7.775 Å, with angles of 90.00, 106.92 and 90.00 degrees. The distinct sites, in fractional coordinates, are Ce at (0.130, 0.250, 0.335), Ce at (0.292, 0.250, 0.963), Zn at (0.450, 0.750, 0.332), In at (0.323, 0.750, 0.655) and Ir at (0.122, 0.750, 0.091).

As for the energy relative to the elements: -0.484 eV per atom. The volume comes out at 24.017 A^3/atom. As for the total energy: -5.433 eV/atom.

---

(6)
First-principles (PBE) data for a geometry-optimized KCeIn4O8 structure, as listed in the Alexandria database.

The space group is R3m (No. 160, hexagonal axes) and the conventional cell measures 6.7555, 6.7555 and 17.0502 Å, with angles of 90.00, 90.00 and 120.00 degrees. The distinct sites, in fractional coordinates, are K at (0.0000, 0.0000, 0.0000), Ce at (0.0000, 0.0000, 0.6329), In at (0.0000, 0.0000, 0.2531), In at (0.1691, 0.3382, 0.4617), O at (0.0000, 0.0000, 0.3943), O at (0.0000, 0.0000, 0.8553), O at (0.0535, 0.5268, 0.3860) and O at (0.1765, 0.3529, 0.2060).

The volume comes out at 16.044 A^3/atom. As for the total energy: -5.918 eV/atom. Its uncorrected formation energy is -2432 kJ/mol of formula units.

---

(7)
First-principles (PBE) data for a geometry-optimized K3Ce3InO8 structure, as listed in the Alexandria database.

The space group is R-3m (No. 166, hexagonal axes) and the conventional cell measures 7.1079, 7.1079 and 18.9419 Å, with angles of 90.00, 90.00 and 120.00 degrees. The distinct sites, in fractional coordinates, are K at (0.0000, 0.5000, 0.0000), Ce at (0.0000, 0.5000, 0.5000), In at (0.0000, 0.0000, 0.5000), O at (0.0000, 0.0000, 0.2287) and O at (0.0108, 0.5054, 0.2258).

The volume comes out at 18.422 A^3/atom. As for the total energy: -6.708 eV/atom. Its uncorrected formation energy is -3581 kJ/mol of formula units.

---

(8)
First-principles (PBE) data for a geometry-optimized K2CeInO4 structure, as listed in the Alexandria database.

The space group is P2/m (No. 10) and the conventional cell measures 6.075, 3.553 and 6.646 Å, with angles of 90.00, 108.69 and 90.00 degrees. The distinct sites, in fractional coordinates, are K at (0.000, 0.000, 0.000), K at (0.500, 0.500, 0.000), Ce at (0.000, 0.500, 0.500), In at (0.500, 0.000, 0.500), O at (0.223, 0.000, 0.693) and O at (0.278, 0.500, 0.315).

The volume comes out at 16.987 A^3/atom. As for the total energy: -5.893 eV/atom. Its uncorrected formation energy is -1586 kJ/mol of formula units.

---

(9)
First-principles (PBE) data for a geometry-optimized KCeInO4 structure, as listed in the Alexandria database.

The space group is Imma (No. 74) and the conventional cell measures 6.785, 7.255 and 9.859 Å, with angles of 90.00, 90.00 and 90.00 degrees. The distinct sites, in fractional coordinates, are K at (0.000, 0.250, 0.136), Ce at (0.000, 0.000, 0.500), In at (0.250, 0.250, 0.750), O at (0.000, 0.054, 0.731) and O at (0.202, 0.250, 0.515).

The volume comes out at 17.333 A^3/atom. As for the total energy: -6.497 eV/atom. Its uncorrected formation energy is -1532 kJ/mol of formula units.

---

(10)
First-principles (PBE) data for a geometry-optimized K4Ce3InO8 structure, as listed in the Alexandria database.

The space group is R-3m (No. 166, hexagonal axes) and the conventional cell measures 7.3555, 7.3555 and 18.6964 Å, with angles of 90.00, 90.00 and 120.00 degrees. The distinct sites, in fractional coordinates, are K at (0.0000, 0.0000, 0.0000), K at (0.0000, 0.5000, 0.0000), Ce at (0.0000, 0.5000, 0.5000), In at (0.0000, 0.0000, 0.5000), O at (0.0000, 0.0000, 0.2315) and O at (0.0440, 0.5220, 0.7718).

The volume comes out at 18.251 A^3/atom. As for the total energy: -6.394 eV/atom. Its uncorrected formation energy is -3639 kJ/mol of formula units.

---

(11)
First-principles (PBE) data for a geometry-optimized K4Ce3InS8 structure, as listed in the Alexandria database.

The space group is R-3m (No. 166, hexagonal axes) and the conventional cell measures 8.3822, 8.3822 and 21.9441 Å, with angles of 90.00, 90.00 and 120.00 degrees. The distinct sites, in fractional coordinates, are K at (0.0000, 0.0000, 0.0000), K at (0.0000, 0.5000, 0.0000), Ce at (0.0000, 0.5000, 0.5000), In at (0.0000, 0.0000, 0.5000), S at (0.0000, 0.0000, 0.2355) and S at (0.0034, 0.5017, 0.7660).

The volume comes out at 27.819 A^3/atom. As for the total energy: -5.178 eV/atom. Its uncorrected formation energy is -2402 kJ/mol of formula units.

---

(12)
First-principles (PBE) data for a geometry-optimized K2Ce2InSe6 structure, as listed in the Alexandria database.

The space group is C2/m (No. 12) and the conventional cell measures 7.274, 12.654 and 8.236 Å, with angles of 90.00, 106.80 and 90.00 degrees. The distinct sites, in fractional coordinates, are K at (0.000, 0.167, 0.000), Ce at (0.000, 0.333, 0.500), In at (0.000, 0.000, 0.500), Se at (0.231, 0.165, 0.703) and Se at (0.250, 0.000, 0.302).

The volume comes out at 32.989 A^3/atom. As for the total energy: -4.791 eV/atom. Its uncorrected formation energy is -1446 kJ/mol of formula units.

---

(13)
First-principles (PBE) data for a geometry-optimized K4Ce3InSe8 structure, as listed in the Alexandria database.

The space group is R-3m (No. 166, hexagonal axes) and the conventional cell measures 8.7155, 8.7155 and 22.8529 Å, with angles of 90.00, 90.00 and 120.00 degrees. The distinct sites, in fractional coordinates, are K at (0.0000, 0.0000, 0.0000), K at (0.0000, 0.5000, 0.0000), Ce at (0.0000, 0.5000, 0.5000), In at (0.0000, 0.0000, 0.5000), Se at (0.0000, 0.0000, 0.2365) and Se at (0.0039, 0.5020, 0.7650).

The volume comes out at 31.319 A^3/atom. As for the total energy: -4.778 eV/atom. Its uncorrected formation energy is -2281 kJ/mol of formula units.

---

(14)
First-principles (PBE) data for a geometry-optimized La4CeIn5 structure, as listed in the Alexandria database.

The space group is P4/mmm (No. 123) and the conventional cell measures 3.931, 3.931 and 19.788 Å, with angles of 90.00, 90.00 and 90.00 degrees. The distinct sites, in fractional coordinates, are La at (0.000, 0.000, 0.101), La at (0.000, 0.000, 0.303), Ce at (0.000, 0.000, 0.500), In at (0.500, 0.500, 0.000), In at (0.500, 0.500, 0.202) and In at (0.500, 0.500, 0.404).

As for the energy relative to the elements: -0.473 eV per atom. The volume comes out at 30.581 A^3/atom. As for the total energy: -4.407 eV/atom.

---

(15)
First-principles (PBE) data for a geometry-optimized LaCeIn structure, as listed in the Alexandria database.

The space group is Cmc2_1 (No. 36) and the conventional cell measures 3.537, 17.345 and 5.906 Å, with angles of 90.00, 90.00 and 90.00 degrees. The distinct sites, in fractional coordinates, are La at (0.000, 0.079, 0.000), Ce at (0.000, 0.238, 0.327) and In at (0.000, 0.408, 0.014).

As for the energy relative to the elements: -0.272 eV per atom. The energy above the lowest structure with this stoichiometry is 22 meV per atom. The volume comes out at 30.192 A^3/atom. As for the total energy: -4.805 eV/atom.

---

(16)
First-principles (PBE) data for a geometry-optimized La3Ce4In4 structure, as listed in the Alexandria database.

The space group is Immm (No. 71) and the conventional cell measures 4.936, 8.450 and 17.135 Å, with angles of 90.00, 90.00 and 90.00 degrees. The distinct sites, in fractional coordinates, are La at (0.000, 0.000, 0.000), La at (0.000, 0.500, 0.116), Ce at (0.000, 0.340, 0.336), In at (0.000, 0.000, 0.244) and In at (0.000, 0.177, 0.500).

As for the energy relative to the elements: -0.191 eV per atom. The volume comes out at 32.486 A^3/atom. As for the total energy: -4.688 eV/atom.

---

(17)
First-principles (PBE) data for a geometry-optimized La2CeIn2 structure, as listed in the Alexandria database.

The space group is Immm (No. 71) and the conventional cell measures 5.177, 7.349 and 8.404 Å, with angles of 90.00, 90.00 and 90.00 degrees. The distinct sites, in fractional coordinates, are La at (0.000, 0.000, 0.195), Ce at (0.000, 0.500, 0.000) and In at (0.000, 0.295, 0.500).

As for the energy relative to the elements: -0.330 eV per atom. The energy above the lowest structure with this stoichiometry is 2 meV per atom. The volume comes out at 31.970 A^3/atom. As for the total energy: -4.583 eV/atom.

---

(18)
First-principles (PBE) data for a geometry-optimized La7CeIn4 structure, as listed in the Alexandria database.

The space group is C2/m (No. 12) and the conventional cell measures 14.928, 5.910 and 11.076 Å, with angles of 90.00, 124.06 and 90.00 degrees. The distinct sites, in fractional coordinates, are La at (0.000, 0.000, 0.000), La at (0.061, 0.500, 0.385), La at (0.202, 0.500, 0.884), La at (0.217, 0.000, 0.656), Ce at (0.000, 0.500, 0.000), In at (0.057, 0.000, 0.755) and In at (0.182, 0.000, 0.334).

As for the energy relative to the elements: -0.169 eV per atom. The volume comes out at 33.734 A^3/atom. As for the total energy: -4.450 eV/atom.

---

(19)
First-principles (PBE) data for a geometry-optimized La8CeIn2 structure, as listed in the Alexandria database.

The space group is C2/m (No. 12) and the conventional cell measures 17.752, 6.777 and 6.442 Å, with angles of 90.00, 103.57 and 90.00 degrees. The distinct sites, in fractional coordinates, are La at (0.083, 0.000, 0.453), La at (0.092, 0.255, 0.995), La at (0.207, 0.500, 0.639), Ce at (0.000, 0.500, 0.500) and In at (0.240, 0.000, 0.834).

As for the energy relative to the elements: -0.074 eV per atom. The volume comes out at 34.242 A^3/atom. As for the total energy: -4.695 eV/atom.

---

(20)
First-principles (PBE) data for a geometry-optimized La9Ce4In11 structure, as listed in the Alexandria database.

The space group is Cmmm (No. 65) and the conventional cell measures 18.901, 21.226 and 3.573 Å, with angles of 90.00, 90.00 and 90.00 degrees. The distinct sites, in fractional coordinates, are La at (0.000, 0.000, 0.000), La at (0.118, 0.238, 0.000), La at (0.121, 0.413, 0.000), Ce at (0.145, 0.084, 0.000), In at (0.000, 0.141, 0.500), In at (0.000, 0.329, 0.500), In at (0.000, 0.500, 0.500), In at (0.241, 0.500, 0.500) and In at (0.244, 0.326, 0.500).

As for the energy relative to the elements: -0.396 eV per atom. The volume comes out at 29.867 A^3/atom. As for the total energy: -4.487 eV/atom.